[1]
Entry from the Alexandria database: crystalline Hg2AsCl6 at its relaxed geometry (PBE).

Lattice parameters (Å, degrees): 4.210 16.915 8.595 90.00 105.36 90.00
Sites, in units of the cell vectors:
Hg1 0.009 0.118 0.144
Hg2 0.009 0.382 0.644
Hg3 0.991 0.618 0.356
Hg4 0.991 0.882 0.856
As1 0.500 0.000 0.500
As2 0.500 0.500 0.000
Cl1 0.080 0.102 0.486
Cl2 0.080 0.398 0.986
Cl3 0.325 0.511 0.692
Cl4 0.325 0.989 0.192
Cl5 0.492 0.699 0.423
Cl6 0.492 0.801 0.923
Cl7 0.508 0.199 0.077
Cl8 0.508 0.301 0.577
Cl9 0.675 0.011 0.808
Cl10 0.675 0.489 0.308
Cl11 0.920 0.602 0.014
Cl12 0.920 0.898 0.514

Total DFT energy (no corrections): -0.166 Ry/atom
Volume: 32.79 A^3/atom
Theoretical density: 3.9 g/cm3
Energy relative to the elements, uncorrected: -0.45 eV/atom

=====

[2]
Entry from the Alexandria database: crystalline HgAs2Cl at its relaxed geometry (PBE).

Lattice parameters (Å, degrees): 11.582 11.582 11.582 159.57 159.57 29.05
Sites, in units of the cell vectors:
Hg1 0.000 0.000 0.000
Hg2 0.750 0.250 0.500
As1 0.057 0.625 0.932
As2 0.375 0.307 0.432
As3 0.693 0.125 0.068
As4 0.875 0.943 0.568
Cl1 0.250 0.750 0.500
Cl2 0.500 0.500 0.000

Total DFT energy (no corrections): -0.205 Ry/atom
Relative energy among the computed polymorphs: 224.9 meV/atom
Volume: 23.65 A^3/atom
Theoretical density: 6.8 g/cm3
Energy relative to the elements, uncorrected: 0.07 eV/atom

=====

Look up the volume of the second one. 23.65 A^3/atom

=====

Repeat the first record exactly.
Entry from the Alexandria database: crystalline Hg2AsCl6 at its relaxed geometry (PBE).

Lattice parameters (Å, degrees): 4.210 16.915 8.595 90.00 105.36 90.00
Sites, in units of the cell vectors:
Hg1 0.009 0.118 0.144
Hg2 0.009 0.382 0.644
Hg3 0.991 0.618 0.356
Hg4 0.991 0.882 0.856
As1 0.500 0.000 0.500
As2 0.500 0.500 0.000
Cl1 0.080 0.102 0.486
Cl2 0.080 0.398 0.986
Cl3 0.325 0.511 0.692
Cl4 0.325 0.989 0.192
Cl5 0.492 0.699 0.423
Cl6 0.492 0.801 0.923
Cl7 0.508 0.199 0.077
Cl8 0.508 0.301 0.577
Cl9 0.675 0.011 0.808
Cl10 0.675 0.489 0.308
Cl11 0.920 0.602 0.014
Cl12 0.920 0.898 0.514

Total DFT energy (no corrections): -0.166 Ry/atom
Volume: 32.79 A^3/atom
Theoretical density: 3.9 g/cm3
Energy relative to the elements, uncorrected: -0.45 eV/atom

=====

Please write out number 2 again, unchanged.
Entry from the Alexandria database: crystalline HgAs2Cl at its relaxed geometry (PBE).

Lattice parameters (Å, degrees): 11.582 11.582 11.582 159.57 159.57 29.05
Sites, in units of the cell vectors:
Hg1 0.000 0.000 0.000
Hg2 0.750 0.250 0.500
As1 0.057 0.625 0.932
As2 0.375 0.307 0.432
As3 0.693 0.125 0.068
As4 0.875 0.943 0.568
Cl1 0.250 0.750 0.500
Cl2 0.500 0.500 0.000

Total DFT energy (no corrections): -0.205 Ry/atom
Relative energy among the computed polymorphs: 224.9 meV/atom
Volume: 23.65 A^3/atom
Theoretical density: 6.8 g/cm3
Energy relative to the elements, uncorrected: 0.07 eV/atom

=====

What is the formula in the first record? Hg2AsCl6